PmPrNdAl | PBE | optimized geometry

The structure belongs to space group Pmmm (No. 47); the cell edges are 4.8916, 4.9010 and 4.9054 Å and the angles 90.00°, 90.00° and 90.00°. The inequivalent atoms are Pm at (0.0000, 0.0000, 0.0000), Pr at (0.5000, 0.0000, 0.5000), Nd at (0.0000, 0.5000, 0.5000) and Al at (0.5000, 0.5000, 0.0000).

For the spin magnetization, the calculation gives 0.0 μB/f.u. The calculation puts the formation energy at -0.166 eV/atom.